## one
Density functional theory data (PBE) for crystalline CdSbSe at its relaxed geometry.

Geometry as POSCAR:
```
CdSbSe
1.0
4.3229 0.0000 0.0000
-2.1615 3.7438 0.0000
0.0000 0.0000 11.5853
Cd Sb Se
2 2 2
Cartesian
0.0000 0.0000 0.0000
0.0000 2.4959 3.6329
0.0000 0.0000 8.0792
0.0000 2.4959 6.5429
0.0000 0.0000 2.7205
2.1615 1.2479 10.5704
```

calculated volume = 31.25 Å³ per atom

## two
Density functional theory data (PBE) for crystalline CdSbSe at its relaxed geometry.

Geometry as POSCAR:
```
CdSbSe
1.0
4.2633 0.0000 0.0000
0.0085 4.5929 0.0000
2.1270 0.0770 9.8759
Cd Sb Se
2 2 2
Cartesian
0.0000 0.0000 0.0000
2.1366 2.8866 3.0620
2.1282 2.5073 8.0703
4.2606 3.8155 6.6110
2.1302 0.4994 1.5628
4.2671 2.1843 4.5334
```

calculated volume = 32.23 Å³ per atom

## three
Density functional theory data (PBE) for crystalline CdSbSe at its relaxed geometry.

Geometry as POSCAR:
```
CdSbSe
1.0
4.6816 0.0000 0.0000
1.6934 5.9638 0.0000
1.0890 1.0387 6.3794
Cd Sb Se
2 2 2
Cartesian
1.2809 1.8386 2.1604
6.1831 5.1638 4.2190
2.2055 3.9529 0.4873
5.2585 3.0495 5.8921
3.6037 5.1765 2.4452
3.8603 1.8259 3.9342
```

calculated volume = 29.69 Å³ per atom

Pick one: it beats the second-best structure by 45 meV/atom.

## one
Density functional theory data (PBE) for crystalline CdSbSe at its relaxed geometry.

Geometry as POSCAR:
```
CdSbSe
1.0
0.0000 3.5093 3.5093
3.5093 0.0000 3.5093
3.5093 3.5093 0.0000
Cd Sb Se
1 1 1
Cartesian
0.0000 0.0000 0.0000
3.5093 3.5093 3.5093
1.7546 1.7546 1.7546
```

calculated volume = 28.81 Å³ per atom

## two
Density functional theory data (PBE) for crystalline CdSbSe at its relaxed geometry.

Geometry as POSCAR:
```
CdSbSe
1.0
3.7594 -2.1726 0.0000
3.7594 2.1726 0.0000
-2.5081 0.0000 11.3098
Cd Sb Se
2 2 2
Cartesian
0.0000 0.0000 0.0000
0.0082 0.0000 7.6923
0.0139 0.0000 2.9004
2.5218 0.0000 4.4231
0.0003 0.0000 10.4065
5.0205 0.0000 6.7028
```

calculated volume = 30.79 Å³ per atom

## three
Density functional theory data (PBE) for crystalline CdSbSe at its relaxed geometry.

Geometry as POSCAR:
```
CdSbSe
1.0
4.3726 0.0000 0.0000
0.0690 5.7242 0.0000
1.3868 2.7577 6.5983
Cd Sb Se
2 2 2
Cartesian
0.0000 0.0000 0.0000
2.0519 2.8415 2.2229
1.4415 5.6946 2.6408
3.7387 5.6736 4.6534
3.5531 2.6527 4.9030
4.0885 2.8207 0.3962
```

calculated volume = 27.53 Å³ per atom

## four
Density functional theory data (PBE) for crystalline CdSbSe at its relaxed geometry.

Geometry as POSCAR:
```
CdSbSe
1.0
4.0075 0.0000 0.0000
-2.0038 3.4706 0.0000
0.0000 0.0000 5.5840
Cd Sb Se
1 1 1
Cartesian
0.0000 0.0000 0.0000
2.0038 1.1569 1.9916
0.0000 2.3137 3.9101
```

calculated volume = 25.89 Å³ per atom

Pick two: it beats the second-best structure by 117 meV/atom.

## one
Density functional theory data (PBE) for crystalline CdSbSe at its relaxed geometry.

Geometry as POSCAR:
```
CdSbSe
1.0
0.0000 3.5320 3.5320
3.5320 0.0000 3.5320
3.5320 3.5320 0.0000
Cd Sb Se
1 1 1
Cartesian
0.0000 0.0000 0.0000
1.7660 1.7660 1.7660
3.5320 3.5320 3.5320
```

calculated volume = 29.38 Å³ per atom

## two
Density functional theory data (PBE) for crystalline CdSbSe at its relaxed geometry.

Geometry as POSCAR:
```
CdSbSe
1.0
2.1560 1.2448 11.6606
-2.1560 1.2448 11.6606
0.0000 -2.4895 11.6606
Cd Sb Se
2 2 2
Cartesian
0.0000 0.0000 0.0000
0.0000 0.0000 15.3098
0.0000 0.0000 7.1772
0.0000 0.0000 32.0602
0.0000 0.0000 12.5686
0.0000 0.0000 27.9477
```

calculated volume = 31.29 Å³ per atom

Pick two: it beats the second-best structure by 536 meV/atom.